# 1
DFT (PBE-GGA) results for a relaxed structure of Be2SnPt.

Computed properties:
Space-group type: I-42d (122)
Total energy in eV per atom: -4.184
Total magnetization in μB per atom: 0.00

Cell and atoms, written as extended XYZ:
```
8
Lattice="-3.340 3.340 2.920 3.340 -3.340 2.920 3.340 3.340 -2.920" Properties=species:S:1:pos:R:3 pbc="T T T"
Be 1.670 1.297 -0.730
Be 2.043 -1.670 3.649
Be 1.670 2.043 2.190
Be 1.297 5.010 0.730
Sn 3.340 0.000 1.460
Sn 0.000 0.000 2.920
Pt 0.000 0.000 0.000
Pt 0.000 3.340 1.460
```



# 2
DFT (PBE-GGA) results for a relaxed structure of Ho3AlAs2Rh9.

Computed properties:
Space-group type: P-3m1 (164)
Total energy in eV per atom: -6.638
Total magnetization in μB per atom: 0.00

Cell and atoms, written as extended XYZ:
```
15
Lattice="6.239 0.000 0.000 -3.120 5.403 0.000 0.000 0.000 8.964" Properties=species:S:1:pos:R:3 pbc="T T T"
Ho 0.000 0.000 0.000
Ho 0.000 3.602 6.528
Ho 3.120 1.801 2.436
Al 0.000 0.000 4.482
As 0.000 3.602 1.576
As 3.120 1.801 7.388
Rh -1.560 2.702 0.000
Rh 0.000 1.515 2.472
Rh -1.807 4.646 2.472
Rh 1.312 0.758 6.492
Rh 3.120 0.000 0.000
Rh 1.560 2.702 0.000
Rh 1.807 4.646 2.472
Rh 4.927 0.758 6.492
Rh 3.120 3.888 6.492
```



# 3
DFT (PBE-GGA) results for a relaxed structure of CeGe3Ir2.

Computed properties:
Offset from the most stable computed form in eV per atom: 0.0000
Space-group type: C2/m (12)
Total energy in eV per atom: -6.803
Total magnetization in μB per atom: 0.11

Cell and atoms, written as extended XYZ:
```
18
Lattice="8.231 -2.081 0.000 8.231 2.081 0.000 -2.228 0.000 9.615" Properties=species:S:1:pos:R:3 pbc="T T T"
Ce 0.000 0.000 0.000
Ce 0.948 0.000 6.651
Ce 13.285 0.000 2.964
Ge -0.037 0.000 3.459
Ge 2.865 0.000 3.582
Ge 5.638 0.000 0.771
Ge 4.088 0.000 7.904
Ge 7.116 0.000 4.807
Ge 10.145 0.000 1.711
Ge 8.594 0.000 8.844
Ge 11.368 0.000 6.033
Ge 14.270 0.000 6.155
Ir 3.163 0.000 0.813
Ir 4.583 0.000 5.402
Ir 7.639 0.000 2.173
Ir 6.594 0.000 7.442
Ir 9.650 0.000 4.213
Ir 11.070 0.000 8.801
```



# 4
DFT (PBE-GGA) results for a relaxed structure of BeInCl2.

Computed properties:
Offset from the most stable computed form in eV per atom: 0.8740
Space-group type: Cmmm (65)
ΔE_f (raw) in eV per atom: 0.127
Total energy in eV per atom: -2.412
Total magnetization in μB per atom: 0.18

Cell and atoms, written as extended XYZ:
```
4
Lattice="3.601 -3.606 0.000 3.601 3.606 0.000 0.000 0.000 3.607" Properties=species:S:1:pos:R:3 pbc="T T T"
Be 0.000 0.000 0.000
In 3.601 0.000 0.000
Cl 1.800 1.803 1.803
Cl 1.800 -1.803 1.803
```